Computed, not measured: MnReBr2 after structural relaxation at the PBE level of DFT.

The calculation puts the formation energy without anion corrections at 1.01 eV/atom. The calculation puts the relative energy among the computed polymorphs at 799 meV per atom.

a = 3.1253 Å, b = 3.1253 Å, c = 24.4924 Å
α = 90.00°, β = 90.00°, γ = 120.00°
Space group R-3m (No. 166, hexagonal axes)
One atom of each set of equivalent atoms:
Mn: 0.0000 0.0000 0.0000 (multiplicity 3)
Re: 0.0000 0.0000 0.5000 (multiplicity 3)
Br: 0.0000 0.0000 0.4012 (multiplicity 6)

---

Computed, not measured: MnGePSN after structural relaxation at the PBE level of DFT.

The calculation puts the formation energy without anion corrections at 0.10 eV/atom. The calculation puts the relative energy among the computed polymorphs at 264 meV per atom.

a = 10.990 Å, b = 2.741 Å, c = 5.433 Å
α = 90.00°, β = 108.26°, γ = 90.00°
Space group Cm (No. 8)
One atom of each set of equivalent atoms:
Mn: 0.000 0.000 0.000 (multiplicity 2)
Ge: 0.097 0.500 0.711 (multiplicity 2)
P: 0.347 0.000 0.116 (multiplicity 2)
S: 0.131 0.500 0.277 (multiplicity 2)
N: 0.296 0.500 0.903 (multiplicity 2)

---

Computed, not measured: YHoGaRu after structural relaxation at the PBE level of DFT.

The calculation puts the relative energy among the computed polymorphs at 35 meV per atom. Its energy of formation is -0.4613 eV per atom.

a = 6.968 Å, b = 6.968 Å, c = 6.968 Å
α = 90.00°, β = 90.00°, γ = 90.00°
Space group F-43m (No. 216)
One atom of each set of equivalent atoms:
Y: 0.000 0.000 0.000 (multiplicity 4)
Ho: 0.000 0.000 0.500 (multiplicity 4)
Ga: 0.250 0.250 0.750 (multiplicity 4)
Ru: 0.250 0.250 0.250 (multiplicity 4)

---

Computed, not measured: Tm2Ga4CuPd3 after structural relaxation at the PBE level of DFT.

Its energy of formation is -0.6767 eV per atom.

a = 3.971 Å, b = 3.971 Å, c = 11.475 Å
α = 90.00°, β = 90.00°, γ = 90.00°
Space group P-4m2 (No. 115)
One atom of each set of equivalent atoms:
Tm: 0.000 0.500 0.247 (multiplicity 2)
Ga: 0.000 0.000 0.500 (multiplicity 1)
Ga: 0.000 0.500 0.866 (multiplicity 2)
Ga: 0.500 0.500 0.500 (multiplicity 1)
Cu: 0.500 0.500 0.000 (multiplicity 1)
Pd: 0.000 0.000 0.000 (multiplicity 1)
Pd: 0.000 0.500 0.648 (multiplicity 2)